Entry 1:
Compound: Rb2Sb4Au3
Source: the Alexandria database
Functional: PBE
Structure: optimized geometry

abc: 7.6353 12.5778 13.0148
angles: 90.00 90.00 90.00
With the nearest neighbours (Å) after each atom.
Space group Fmmm (No. 69)
Asymmetric unit:
Rb 0.0000 0.0000 0.1441 x8  4 Sb 3.68-4.09, 1 Rb 3.75
Sb 0.0000 0.1755 0.3705 x16  3 Au 2.71-2.78
Au 0.0000 0.0000 0.5000 x4  4 Sb 2.78
Au 0.2500 0.2500 0.0000 x8  4 Sb 2.71

Values from the calculation:
The total energy comes out at -3.42 eV per atom. The calculation puts the magnetic moment at 0.00 μB/f.u. The value obtained for the formation energy (no corrections) is -0.2803 eV per atom.

Entry 2:
Compound: Rb3Sb5Au6
Source: the Alexandria database
Functional: PBE
Structure: optimized geometry

abc: 4.6555 13.8710 12.2706
angles: 90.00 90.00 90.00
With the nearest neighbours (Å) after each atom.
Space group Pmmn (No. 59, origin choice 2)
Asymmetric unit:
Rb 0.2500 0.1067 0.2429 x4  5 Au 3.58-4.01, 6 Sb 3.69-3.78, 1 Rb 3.97
Rb 0.2500 0.7500 0.2491 x2  6 Sb 3.59-3.60, 10 Au 3.60-3.83
Sb 0.2500 0.0757 0.6443 x4  5 Au 2.80-2.84
Sb 0.2500 0.6154 0.9995 x4  5 Au 2.88-2.99
Sb 0.2500 0.7500 0.5898 x2  4 Au 2.73-2.82
Au 0.2500 0.0601 0.8744 x4  4 Sb 2.83-2.90, 1 Au 2.99
Au 0.2500 0.2500 0.5267 x2  4 Sb 2.73-2.82
Au 0.2500 0.2500 0.9898 x2  4 Sb 2.99, 2 Au 2.99
Au 0.2500 0.5703 0.4826 x4  4 Sb 2.80-2.84, 2 Au 3.07

Values from the calculation:
The total energy comes out at -3.32 eV per atom. The calculation puts the magnetic moment at 0.00 μB/f.u. The value obtained for the formation energy (no corrections) is -0.2323 eV per atom.

Entry 3:
Compound: RbSbAu4
Source: the Alexandria database
Functional: PBE
Structure: optimized geometry

abc: 8.1833 8.1833 8.1833
angles: 90.00 90.00 90.00
With the nearest neighbours (Å) after each atom.
Space group F-43m (No. 216)
Asymmetric unit:
Rb 0.0000 0.0000 0.0000 x4  12 Au 3.39, 4 Sb 3.54
Sb 0.2500 0.2500 0.7500 x4  12 Au 3.39, 4 Rb 3.54
Au 0.1249 0.1249 0.3751 x16  6 Au 2.89-2.90

Values from the calculation:
For the excess energy over the best structure of this formula in the dataset, the calculation gives 82 meV per atom. The total energy comes out at -3.06 eV per atom. The calculation puts the magnetic moment at 0.00 μB/f.u. The value obtained for the formation energy (no corrections) is -0.0280 eV per atom.

Entry 4:
Compound: RbSbAuSe2
Source: the Alexandria database
Functional: PBE
Structure: optimized geometry

abc: 6.3420 15.5628 6.0137
angles: 90.00 90.00 90.00
With the nearest neighbours (Å) after each atom.
Space group Cmme (No. 67)
Asymmetric unit:
Rb 0.0000 0.2500 0.2439 x4  8 Se 3.49-3.67
Sb 0.2500 0.0000 0.0000 x4  4 Se 3.04, 2 Sb 3.17, 4 Au 3.40
Au 0.0000 0.0000 0.5000 x4  2 Se 2.50
Se 0.0000 0.1319 0.7373 x8  1 Au 2.50

Values from the calculation:
The total energy comes out at -3.42 eV per atom. The calculation puts the magnetic moment at 0.00 μB/f.u. The value obtained for the formation energy (no corrections) is -0.3507 eV per atom.

Entry 5:
Compound: RbSbAu2Se4
Source: the Alexandria database
Functional: PBE
Structure: optimized geometry

abc: 6.7317 8.6294 9.3110
angles: 90.00 90.00 90.00
With the nearest neighbours (Å) after each atom.
Space group I222 (No. 23)
Asymmetric unit:
Rb 0.0000 0.0000 0.0000 x2  8 Se 3.74-3.76
Sb 0.0000 0.0000 0.5000 x2  4 Se 2.56
Au 0.0000 0.5000 0.1663 x4  2 Se 2.45
Se 0.2101 0.1726 0.3361 x8  1 Au 2.45, 1 Sb 2.56

Values from the calculation:
The total energy comes out at -3.57 eV per atom. The calculation puts the magnetic moment at 0.00 μB/f.u. The value obtained for the formation energy (no corrections) is -0.3728 eV per atom.

Entry 6:
Compound: RbSmSb2Au2
Source: the Alexandria database
Functional: PBE
Structure: optimized geometry

abc: 4.6977 4.6977 9.5980
angles: 90.00 90.00 120.00
With the nearest neighbours (Å) after each atom.
Space group P-3m1 (No. 164)
Asymmetric unit:
Rb 0.0000 0.0000 0.0000 x1  6 Sb 3.82, 6 Au 4.13
Sm 0.0000 0.0000 0.5000 x1  6 Au 3.20, 6 Sb 3.44
Sb 0.3333 0.6667 0.7203 x2  3 Au 2.75
Au 0.3333 0.6667 0.3239 x2  3 Sb 2.75

Values from the calculation:
The total energy comes out at -4.13 eV per atom. The calculation puts the magnetic moment at 0.00 μB/f.u. The value obtained for the formation energy (no corrections) is -0.7112 eV per atom.

Entry 7:
Compound: Rb2SmSb4Au3
Source: the Alexandria database
Functional: PBE
Structure: optimized geometry

abc: 4.9149 4.9149 12.2554
angles: 90.00 90.00 90.00
With the nearest neighbours (Å) after each atom.
Space group P-4m2 (No. 115)
Asymmetric unit:
Rb 0.0000 0.5000 0.2414 x2  8 Sb 3.74-3.85, 6 Au 3.77-4.01, 2 Sm 4.01
Sm 0.0000 0.0000 0.5000 x1  4 Sb 3.04
Sb 0.0000 0.0000 0.0000 x1  4 Au 2.88
Sb 0.0000 0.5000 0.6455 x2  3 Au 2.85-3.04, 2 Sm 3.04
Sb 0.5000 0.5000 0.0000 x1  4 Au 2.88
Au 0.0000 0.5000 0.8782 x2  5 Sb 2.85-2.88
Au 0.5000 0.5000 0.5000 x1  4 Sb 3.04

Values from the calculation:
The total energy comes out at -3.75 eV per atom. The calculation puts the magnetic moment at 0.00 μB/f.u. The value obtained for the formation energy (no corrections) is -0.4538 eV per atom.

Entry 8:
Compound: RbSnSbAu3
Source: the Alexandria database
Functional: PBE
Structure: optimized geometry

abc: 7.1506 15.1676 6.9766
angles: 90.00 90.00 90.00
With the nearest neighbours (Å) after each atom.
Space group Cmcm (No. 63)
Asymmetric unit:
Rb 0.0000 0.2391 0.2500 x4  4 Au 3.54-3.58
Sn 0.0000 0.4537 0.7500 x4  5 Au 2.67-2.79
Sb 0.0000 0.1022 0.7500 x4  5 Au 2.67-2.78
Au 0.0000 0.2780 0.7500 x4  1 Sn 2.67, 1 Sb 2.67
Au 0.2115 0.0000 0.0000 x8  2 Sb 2.78, 2 Sn 2.79, 1 Au 3.02

Values from the calculation:
The total energy comes out at -3.36 eV per atom. The calculation puts the magnetic moment at 0.00 μB/f.u. The value obtained for the formation energy (no corrections) is -0.2055 eV per atom.

Entry 9:
Compound: Rb2Sn2Sb2Au
Source: the Alexandria database
Functional: PBE
Structure: optimized geometry

abc: 15.3061 5.0431 8.6058
angles: 90.00 123.91 90.00
With the nearest neighbours (Å) after each atom.
Space group C2/m (No. 12)
Asymmetric unit:
Rb 0.0600 0.0000 0.3236 x4  2 Au 3.48, 2 Sb 3.86
Sn 0.1979 0.5000 0.0858 x4  1 Au 2.69, 3 Sb 2.93-2.99
Sb 0.1843 0.5000 0.7320 x4  3 Sn 2.93-2.99
Au 0.0000 0.5000 0.0000 x2  2 Sn 2.69

Values from the calculation:
The total energy comes out at -3.35 eV per atom. The calculation puts the magnetic moment at 0.00 μB/f.u. The value obtained for the formation energy (no corrections) is -0.2836 eV per atom.

Entry 10:
Compound: Rb2SnSbAu6
Source: the Alexandria database
Functional: PBE
Structure: optimized geometry

abc: 10.7151 10.8218 7.5874
angles: 90.00 134.53 90.00
With the nearest neighbours (Å) after each atom.
Space group C2/m (No. 12)
Asymmetric unit:
Rb 0.0000 0.2499 0.0000 x4  12 Au 3.79-3.83
Sn 0.0000 0.0000 0.5000 x2  6 Au 2.67-2.70
Sb 0.0000 0.5000 0.5000 x2  6 Au 2.69-2.71
Au 0.0000 0.2495 0.5000 x4  1 Sn 2.70, 1 Sb 2.71
Au 0.2494 0.0000 0.5001 x4  1 Sn 2.67, 1 Sb 2.69
Au 0.2496 0.0000 0.9990 x4  1 Sn 2.70, 1 Sb 2.71

Values from the calculation:
The total energy comes out at -3.13 eV per atom. The calculation puts the magnetic moment at 0.00 μB/f.u. The value obtained for the formation energy (no corrections) is -0.1533 eV per atom.

Entry 11:
Compound: Rb2Sn3SbAu4
Source: the Alexandria database
Functional: PBE
Structure: optimized geometry

abc: 5.0543 5.0543 10.9339
angles: 90.00 90.00 90.00
With the nearest neighbours (Å) after each atom.
Space group P-4m2 (No. 115)
Asymmetric unit:
Rb 0.0000 0.5000 0.2459 x2  8 Au 3.69-3.84, 7 Sn 3.76-3.93, 2 Sb 3.76
Sn 0.0000 0.5000 0.8861 x2  5 Au 2.82-2.84
Sn 0.5000 0.5000 0.5000 x1  4 Au 2.88
Sb 0.0000 0.0000 0.5000 x1  4 Au 2.88
Au 0.0000 0.0000 0.0000 x1  4 Sn 2.82
Au 0.0000 0.5000 0.6265 x2  3 Sn 2.84-2.88, 2 Sb 2.88
Au 0.5000 0.5000 0.0000 x1  4 Sn 2.82

Values from the calculation:
The total energy comes out at -3.40 eV per atom. The calculation puts the magnetic moment at 0.00 μB/f.u. The value obtained for the formation energy (no corrections) is -0.2778 eV per atom.

Entry 12:
Compound: RbSrSb2Au
Source: the Alexandria database
Functional: PBE
Structure: optimized geometry

abc: 5.9593 5.9593 6.1173
angles: 90.00 90.00 90.00
With the nearest neighbours (Å) after each atom.
Space group P4/mmm (No. 123)
Asymmetric unit:
Rb 0.0000 0.0000 0.0000 x1  4 Sb 2.98, 2 Sr 3.06
Sr 0.0000 0.0000 0.5000 x1  2 Rb 3.06
Sb 0.0000 0.5000 0.0000 x2  2 Rb 2.98
Au 0.5000 0.5000 0.5000 x1  4 Sr 4.21, 8 Sb 4.27

Values from the calculation:
The total energy comes out at -1.79 eV per atom. The calculation puts the magnetic moment at 0.00 μB/f.u. The value obtained for the formation energy (no corrections) is 1.0398 eV per atom.